ZnFeHg2 | PBE | relaxed

Output
Formation energy from the elements in meV/atom: 411
DFT total energy in eV per atom: -2.1742
Space group: I-4m2 (119)

Cell and atoms, written as extended XYZ:
```
4
Lattice="-0.471 4.924 -2.011 0.108 0.392 -5.324 -2.623 -2.959 3.589" Properties=species:S:1:pos:R:3 pbc="T T T"
Fe -1.638 2.312 -1.045
Hg -1.348 0.046 -2.702
Hg 0.000 0.000 0.000
Zn -0.182 2.658 -3.668
```